(1)
Density functional theory data (PBE) for crystalline InSn3Sb4 at its relaxed geometry.

a b c (Å): 4.5500 4.5500 52.4232
angles (deg): 90.00 90.00 120.00
Last column: nearest neighbours and their distance in Å.
Space group R3m (No. 160, hexagonal axes)
Symmetry-distinct sites (fractional):
In 0.0000 0.0000 0.0000  4 Sb 2.83-2.86
Sn 0.0000 0.0000 0.2579  4 Sb 2.91-2.92
Sn 0.0000 0.0000 0.4976  3 Sb 2.95
Sn 0.0000 0.0000 0.7462  4 Sb 2.94-3.09
Sb 0.0000 0.0000 0.0545  1 In 2.86, 3 Sn 2.94
Sb 0.0000 0.0000 0.3134  3 In 2.83, 1 Sn 2.91
Sb 0.0000 0.0000 0.5670  3 Sn 2.92
Sb 0.0000 0.0000 0.8052  4 Sn 2.95-3.09

***

(2)
Density functional theory data (PBE) for crystalline Co2PtW at its relaxed geometry.

a b c (Å): 5.3702 7.2475 2.7085
angles (deg): 90.00 90.00 90.00
Last column: nearest neighbours and their distance in Å.
Space group Cmmm (No. 65)
Symmetry-distinct sites (fractional):
Co 0.2500 0.2500 0.0000  4 W 2.63, 4 Pt 2.63, 4 Co 2.69-2.71
Pt 0.0000 0.0000 0.5000  8 Co 2.63, 2 W 2.69, 2 Pt 2.71
W 0.0000 0.5000 0.5000  8 Co 2.63, 2 Pt 2.69, 2 W 2.71

Summary:
Formation energy, eV per atom: 0.029
Distance to the lowest polymorph of the same formula, kcal/mol of atoms: 3.46

***

(3)
Density functional theory data (PBE) for crystalline InSbP2 at its relaxed geometry.

a b c (Å): 3.1955 3.1955 9.1361
angles (deg): 90.00 90.00 90.00
Last column: nearest neighbours and their distance in Å.
Space group P4mm (No. 99)
Symmetry-distinct sites (fractional):
In 0.0000 0.0000 0.0000  1 P 2.89, 4 In 3.20
Sb 0.5000 0.5000 0.6764  1 P 2.63
P 0.0000 0.0000 0.3169  4 P 2.35
P 0.5000 0.5000 0.3887  4 P 2.35, 1 Sb 2.63

Summary:
Distance to the lowest polymorph of the same formula, kcal/mol of atoms: 1.94

***

(4)
Density functional theory data (PBE) for crystalline Ce3N2Cl at its relaxed geometry.

a b c (Å): 3.6532 13.1653 10.0270
angles (deg): 90.00 90.00 90.00
Last column: nearest neighbours and their distance in Å.
Space group Cmcm (No. 63)
Symmetry-distinct sites (fractional):
Ce 0.0000 0.0568 0.2500  2 N 2.33
Ce 0.0000 0.3752 0.0540  1 N 2.18
N 0.0000 0.0000 0.0000  6 Ce 2.52-2.62
N 0.0000 0.4473 0.2500  4 Ce 2.18-2.33
Cl 0.0000 0.2636 0.7500  6 Ce 2.99-3.25, 2 N 3.32

***

(5)
Density functional theory data (PBE) for crystalline Ba4SiPt at its relaxed geometry.

a b c (Å): 9.6046 9.6046 9.6046
angles (deg): 90.00 90.00 90.00
Last column: nearest neighbours and their distance in Å.
Space group F-43m (No. 216)
Symmetry-distinct sites (fractional):
Ba 0.1248 0.1248 0.1248  6 Ba 3.39-3.40
Si 0.0000 0.0000 0.5000  12 Ba 3.98, 4 Pt 4.16
Pt 0.2500 0.2500 0.7500  12 Ba 3.98, 4 Si 4.16

***

(6)
Density functional theory data (PBE) for crystalline Tm2MnCd at its relaxed geometry.

a b c (Å): 7.2040 7.2040 7.2040
angles (deg): 90.00 90.00 90.00
Last column: nearest neighbours and their distance in Å.
Space group Fm-3m (No. 225)
Symmetry-distinct sites (fractional):
Tm 0.2500 0.2500 0.2500  4 Mn 3.12, 4 Cd 3.12
Mn 0.0000 0.0000 0.0000  8 Tm 3.12
Cd 0.0000 0.0000 0.5000  8 Tm 3.12

Summary:
Formation energy, eV per atom: -0.018
Distance to the lowest polymorph of the same formula, kcal/mol of atoms: 1.90

***

(7)
Density functional theory data (PBE) for crystalline LiSe2Cl at its relaxed geometry.

a b c (Å): 2.9091 2.9091 34.5551
angles (deg): 90.00 90.00 120.00
Last column: nearest neighbours and their distance in Å.
Space group R-3m (No. 166, hexagonal axes)
Symmetry-distinct sites (fractional):
Li 0.0000 0.0000 0.0000  6 Se 2.68, 6 Li 2.91
Se 0.0000 0.0000 0.2728  3 Li 2.68, 6 Se 2.91
Cl 0.0000 0.0000 0.5000  6 Cl 2.91

Summary:
Distance to the lowest polymorph of the same formula, kcal/mol of atoms: 15.56

***

(8)
Density functional theory data (PBE) for crystalline Ac3InO2 at its relaxed geometry.

a b c (Å): 9.8197 12.6480 5.9447
angles (deg): 90.00 90.00 90.00
Last column: nearest neighbours and their distance in Å.
Space group Cmcm (No. 63)
Symmetry-distinct sites (fractional):
Ac 0.0000 0.1002 0.2500  4 O 2.49
Ac 0.2070 0.3911 0.2500  2 O 2.43
In 0.0000 0.3065 0.7500  8 Ac 3.76-3.96
O 0.1566 0.0000 0.0000  4 Ac 2.43-2.49

***

(9)
Density functional theory data (PBE) for crystalline LiTaP at its relaxed geometry.

a b c (Å): 5.8492 5.8492 5.8492
angles (deg): 90.00 90.00 90.00
Last column: nearest neighbours and their distance in Å.
Space group F-43m (No. 216)
Symmetry-distinct sites (fractional):
Li 0.0000 0.0000 0.0000  4 Ta 2.53
Ta 0.2500 0.2500 0.2500  4 Li 2.53, 4 P 2.53
P 0.0000 0.0000 0.5000  4 Ta 2.53

Summary:
Formation energy, eV per atom: 0.318
Distance to the lowest polymorph of the same formula, kcal/mol of atoms: 20.58

***

(10)
Density functional theory data (PBE) for crystalline SrLa2Ir at its relaxed geometry.

a b c (Å): 7.6422 7.6422 7.6422
angles (deg): 90.00 90.00 90.00
Last column: nearest neighbours and their distance in Å.
Space group Fm-3m (No. 225)
Symmetry-distinct sites (fractional):
Sr 0.0000 0.0000 0.0000  8 La 3.31
La 0.2500 0.2500 0.2500  4 Ir 3.31, 4 Sr 3.31
Ir 0.0000 0.0000 0.5000  8 La 3.31

Summary:
Formation energy, eV per atom: 0.057
Distance to the lowest polymorph of the same formula, kcal/mol of atoms: 12.01

***

(11)
Density functional theory data (PBE) for crystalline AlGe at its relaxed geometry.

a b c (Å): 3.2922 3.2922 3.2922
angles (deg): 90.00 90.00 90.00
Last column: nearest neighbours and their distance in Å.
Space group Pm-3m (No. 221)
Symmetry-distinct sites (fractional):
Al 0.0000 0.0000 0.0000  8 Ge 2.85
Ge 0.5000 0.5000 0.5000  8 Al 2.85

Summary:
Formation energy, eV per atom: 0.197

***

(12)
Density functional theory data (PBE) for crystalline HoNi3B3 at its relaxed geometry.

a b c (Å): 7.6350 7.6350 3.1685
angles (deg): 90.00 90.00 120.00
Last column: nearest neighbours and their distance in Å.
Space group P6_3/m (No. 176)
Symmetry-distinct sites (fractional):
Ho 0.3333 0.6667 0.2500  9 B 2.53-2.57, 6 Ni 2.80
Ni 0.0812 0.3323 0.7500  4 B 2.05-2.19
B 0.0394 0.5932 0.7500  2 B 2.01, 4 Ni 2.05-2.19

Summary:
Formation energy, eV per atom: -0.180
Distance to the lowest polymorph of the same formula, kcal/mol of atoms: 0.00

***

Results for total energy: -30.6 -33.1 -17.2 -44.4 -15.3 -19.1 -11.1 -37.0 -18.2 -20.2 -8.0 -43.2 (in eV per formula unit, following the order of the records).